[1]
Entry from Alexandria via LeMat-Bulk: a geometry-optimized SiPRhS2 structure (PBE).

formation energy from raw total energies = 0.678 eV/atom
symmetry = No. 123
ΔE to the lowest computed polymorph = 0 meV/atom
M_tot = 0.00 μB/f.u.
Fermi-level density of states = 4.3 states/eV per cell
energy = -4.61 eV per atom

Lattice parameters (Å, degrees): 4.858 4.858 4.305 90.00 90.00 90.00
Positions (direct):
P 0.000 0.000 0.500
S 0.000 0.500 0.000
S 0.500 0.000 0.000
Rh 0.000 0.000 0.000
Si 0.500 0.500 0.500

***

[2]
Entry from Alexandria via LeMat-Bulk: a geometry-optimized SiP2RhS structure (PBE).

formation energy from raw total energies = 0.752 eV/atom
symmetry = No. 123
ΔE to the lowest computed polymorph = 0 meV/atom
M_tot = 0.00 μB/f.u.
Fermi-level density of states = 3.9 states/eV per cell
energy = -4.79 eV per atom

Lattice parameters (Å, degrees): 4.445 4.445 5.099 90.00 90.00 90.00
Positions (direct):
P 0.000 0.500 0.000
P 0.500 0.000 0.000
S 0.000 0.000 0.500
Rh 0.000 0.000 0.000
Si 0.500 0.500 0.500

***

Q: Which value of formation energy from raw total energies does entry 1 give?
A: 0.678 eV/atom

***

Q: The lowest energy belongs to which entry?
A: SiP2RhS

***

Q: Look up the M_tot of the first one.
A: 0.00 μB/f.u.